# NdHoPb2 | the Alexandria database | PBE | optimized geometry
# - Formation energy: -1.84 eV per formula unit
# - Total moment: 0.0 μB per formula unit
data_NdHoPb2
_chemical_formula_sum 'Nd1 Ho1 Pb2'
_cell_length_a 5.066
_cell_length_b 5.066
_cell_length_c 4.528
_cell_angle_alpha 90.00
_cell_angle_beta 90.00
_cell_angle_gamma 90.00
_symmetry_space_group_name_H-M 'P 4/m m m'
_symmetry_Int_Tables_number 123
_symmetry_space_group_name_Hall '-P 4 2'
loop_
_atom_site_label
_atom_site_type_symbol
_atom_site_fract_x
_atom_site_fract_y
_atom_site_fract_z
Nd1 Nd 0.000 0.000 0.000
Ho1 Ho 0.500 0.500 0.000
Pb1 Pb 0.000 0.500 0.500